[1]
# Li8BiS6

A PBEsol-optimized structure of Li8BiS6 (meta-GGA SCAN, Alexandria via LeMat-Bulk).

Cell lengths 6.994, 6.994, 13.334 Å; angles 90.00, 90.00, 120.00 degrees
Fractional coordinates of all 30 atoms:
Li  0.329  0.000  0.734
Li  0.382  0.000  0.366
Li  0.618  0.000  0.866
Li  0.671  0.000  0.234
Li  0.333  0.667  0.105
Li  0.333  0.667  0.605
Li  0.671  0.671  0.734
Li  0.618  0.618  0.366
Li  0.382  0.382  0.866
Li  0.000  0.671  0.234
Li  0.329  0.329  0.234
Li  0.000  0.618  0.866
Li  0.667  0.333  0.605
Li  0.667  0.333  0.105
Li  0.000  0.382  0.366
Li  0.000  0.329  0.734
Bi  0.000  0.000  0.510
Bi  0.000  0.000  0.010
S  0.358  0.000  0.549
S  0.642  0.000  0.049
S  0.333  0.667  0.287
S  0.000  0.000  0.313
S  0.000  0.000  0.813
S  0.333  0.667  0.787
S  0.642  0.642  0.549
S  0.000  0.642  0.049
S  0.358  0.358  0.049
S  0.667  0.333  0.787
S  0.667  0.333  0.287
S  0.000  0.358  0.549

**SG**: P6_3cm, No. 185
**Formation energy (no corrections)**: -113.27 kJ/mol of atoms
**Magnetic moment**: 0.02 Bohr magnetons per cell
**Polymorph energy (0 for the lowest one)**: 0.12 eV/f.u.

=====

[2]
# BaScMo2

A PBEsol-optimized structure of BaScMo2 (meta-GGA SCAN, Alexandria via LeMat-Bulk).

Cell lengths 3.214, 3.214, 10.199 Å; angles 80.94, 80.94, 60.00 degrees
Fractional coordinates of all 4 atoms:
Ba  0.258  0.258  0.226
Mo  0.019  0.019  0.943
Mo  0.742  0.742  0.774
Sc  0.481  0.481  0.557

**SG**: R3m, No. 160
**Energy of formation from the pure elements**: 0.704 eV per atom
**Magnetic moment**: 0.00 Bohr magnetons per cell
**Polymorph energy (0 for the lowest one)**: 0.00 eV/f.u.

=====

[3]
# SrTc2Ir

A PBEsol-optimized structure of SrTc2Ir (meta-GGA SCAN, Alexandria via LeMat-Bulk).

Cell lengths 2.989, 5.141, 5.404 Å; angles 102.80, 90.00, 106.90 degrees
Fractional coordinates of all 4 atoms:
Ir  0.000  0.000  0.500
Sr  0.500  0.000  0.000
Tc  0.721  0.442  0.649
Tc  0.279  0.558  0.351

**SG**: C2/m, No. 12
**Energy of formation from the pure elements**: 0.411 eV per atom
**Magnetic moment**: 0.00 Bohr magnetons per cell
**Polymorph energy (0 for the lowest one)**: 0.00 eV/f.u.

=====

[4]
# LiCuAg

A PBEsol-optimized structure of LiCuAg (meta-GGA SCAN, Alexandria via LeMat-Bulk).

Cell lengths 2.692, 3.838, 4.634 Å; angles 114.44, 106.57, 90.03 degrees
Fractional coordinates of all 3 atoms:
Ag  0.004  0.003  0.005
Cu  0.664  0.666  0.333
Li  0.332  0.331  0.662

**SG**: Cm, No. 8
**Energy of formation from the pure elements**: -0.032 eV per atom
**Magnetic moment**: 0.00 Bohr magnetons per cell
**Polymorph energy (0 for the lowest one)**: 0.00 eV/f.u.

=====

[5]
# YErAl6

A PBEsol-optimized structure of YErAl6 (meta-GGA SCAN, Alexandria via LeMat-Bulk).

Cell lengths 6.081, 6.081, 14.491 Å; angles 77.89, 77.89, 60.00 degrees
Fractional coordinates of all 24 atoms:
Y  0.109  0.109  0.672
Y  0.891  0.891  0.328
Y  0.390  0.390  0.829
Er  0.000  0.000  0.000
Er  0.500  0.500  0.500
Er  0.609  0.609  0.172
Al  0.921  0.372  0.334
Al  0.422  0.872  0.835
Al  0.372  0.921  0.334
Al  0.872  0.422  0.835
Al  0.372  0.372  0.334
Al  0.872  0.872  0.835
Al  0.578  0.128  0.165
Al  0.078  0.628  0.665
Al  0.128  0.578  0.165
Al  0.628  0.078  0.665
Al  0.128  0.128  0.165
Al  0.628  0.628  0.665
Al  0.500  0.998  0.001
Al  0.000  0.500  0.500
Al  0.500  0.500  0.001
Al  0.000  0.000  0.500
Al  0.998  0.500  0.001
Al  0.500  0.000  0.500

**SG**: R3m, No. 160
**Energy of formation from the pure elements**: -0.449 eV per atom
**Magnetic moment**: 0.00 Bohr magnetons per cell

=====

[6]
# TaAlOs2

A PBEsol-optimized structure of TaAlOs2 (meta-GGA SCAN, Alexandria via LeMat-Bulk).

Cell lengths 2.787, 2.787, 7.736 Å; angles 90.00, 90.00, 90.00 degrees
Fractional coordinates of all 4 atoms:
Os  0.000  0.000  0.004
Os  0.500  0.500  0.224
Al  0.500  0.500  0.768
Ta  0.000  0.000  0.504

**SG**: P4mm, No. 99
**Energy of formation from the pure elements**: -0.219 eV per atom
**Magnetic moment**: 0.00 Bohr magnetons per cell
**Polymorph energy (0 for the lowest one)**: 2.26 eV/f.u.

=====

[7]
# Hg2PbCl

A PBEsol-optimized structure of Hg2PbCl (meta-GGA SCAN, Alexandria via LeMat-Bulk).

Cell lengths 3.257, 5.541, 5.659 Å; angles 90.00, 90.00, 90.00 degrees
Fractional coordinates of all 4 atoms:
Pb  0.500  0.500  0.000
Hg  0.000  0.000  0.746
Hg  0.000  0.000  0.254
Cl  0.500  0.500  0.500

**SG**: Pmmm, No. 47
**Formation energy (no corrections)**: -26.04 kJ/mol of atoms
**Magnetic moment**: 0.00 Bohr magnetons per cell
**Polymorph energy (0 for the lowest one)**: 0.24 eV/f.u.

=====

[8]
# CaTa3Ga

A PBEsol-optimized structure of CaTa3Ga (meta-GGA SCAN, Alexandria via LeMat-Bulk).

Cell lengths 4.826, 4.826, 4.826 Å; angles 90.00, 90.00, 90.00 degrees
Fractional coordinates of all 5 atoms:
Ca  0.500  0.500  0.500
Ga  0.000  0.000  0.000
Ta  0.000  0.500  0.000
Ta  0.000  0.000  0.500
Ta  0.500  0.000  0.000

**SG**: Pm-3m, No. 221
**Energy of formation from the pure elements**: 1.185 eV per atom
**Magnetic moment**: 0.00 Bohr magnetons per cell

=====

[9]
# NaSr2RuF

A PBEsol-optimized structure of NaSr2RuF (meta-GGA SCAN, Alexandria via LeMat-Bulk).

Cell lengths 4.281, 5.073, 5.073 Å; angles 90.00, 90.00, 90.00 degrees
Fractional coordinates of all 5 atoms:
Ru  0.500  0.500  0.500
F  0.000  0.000  0.000
Na  0.500  0.000  0.000
Sr  0.000  0.000  0.500
Sr  0.000  0.500  0.000

**SG**: P4/mmm, No. 123
**Formation energy (no corrections)**: -74.97 kJ/mol of atoms
**Magnetic moment**: 0.01 Bohr magnetons per cell

=====

[10]
# CsMgBr3

A PBEsol-optimized structure of CsMgBr3 (meta-GGA SCAN, Alexandria via LeMat-Bulk).

Cell lengths 6.470, 7.556, 7.556 Å; angles 120.00, 90.00, 90.00 degrees
Fractional coordinates of all 10 atoms:
Br  0.750  0.162  0.838
Br  0.750  0.677  0.838
Br  0.750  0.162  0.323
Br  0.250  0.838  0.162
Br  0.250  0.323  0.162
Br  0.250  0.838  0.677
Cs  0.250  0.333  0.667
Cs  0.750  0.667  0.333
Mg  0.000  0.000  0.000
Mg  0.500  0.000  0.000

**SG**: P6_3/mmc, No. 194
**Formation energy (no corrections)**: -179.39 kJ/mol of atoms
**Magnetic moment**: 0.00 Bohr magnetons per cell

=====

[11]
# Ca2BrO

A PBEsol-optimized structure of Ca2BrO (meta-GGA SCAN, Alexandria via LeMat-Bulk).

Cell lengths 6.185, 6.880, 6.185 Å; angles 63.29, 90.00, 116.71 degrees
Fractional coordinates of all 8 atoms:
Ca  0.224  0.750  0.875
Ca  0.526  0.750  0.375
Ca  0.375  0.250  0.224
Ca  0.875  0.250  0.526
O  0.250  0.500  0.250
O  0.500  0.000  0.500
Br  0.750  0.500  0.750
Br  0.000  0.000  0.000

**SG**: I-42d, No. 122
**Formation energy (no corrections)**: -209.05 kJ/mol of atoms
**Magnetic moment**: 1.55 Bohr magnetons per cell

=====

[12]
# BaSb2SI

A PBEsol-optimized structure of BaSb2SI (meta-GGA SCAN, Alexandria via LeMat-Bulk).

Cell lengths 6.391, 6.450, 6.450 Å; angles 90.00, 90.00, 90.00 degrees
Fractional coordinates of all 5 atoms:
I  0.500  0.000  0.000
Sb  0.000  0.000  0.500
Sb  0.000  0.500  0.000
S  0.500  0.500  0.500
Ba  0.000  0.000  0.000

**SG**: P4/mmm, No. 123
**Formation energy (no corrections)**: 82.93 kJ/mol of atoms
**Magnetic moment**: 4.33 Bohr magnetons per cell
**Polymorph energy (0 for the lowest one)**: 5.71 eV/f.u.